# CeTaV2O6

CeTaV2O6 after structural relaxation (GGA+U, the Alexandria database).

a b c (Å): 5.4899 5.4890 5.8777
angles (deg): 62.15 62.16 60.00
Last column: magnetic moment on the atom in μB.
Element x y z (fractional)
V1 0.0130 0.0131 0.9608  2.64
V2 0.5176 0.5175 0.4473  2.65
O1 0.9424 0.5861 0.2264  -0.01
O2 0.1526 0.3802 0.7612  -0.01
O3 0.3802 0.7061 0.7611  -0.01
O4 0.2451 0.9423 0.2264  -0.01
O5 0.7060 0.1525 0.7612  -0.01
O6 0.5862 0.2453 0.2263  -0.01
Ta1 0.3165 0.3165 0.0505  0.12
Ce1 0.8020 0.8020 0.5939  1.04

## Properties
space-group type	R3
DOS(E_F)	4.73	states/eV per cell
calculated total energy	-8.76	eV per atom